No. 1
The following is a DFT calculation (PBE-GGA) of Li2TcSnH after structural relaxation.

```
Li2TcSnH
1.0
-1.574 -2.108 -2.977
-2.859 -1.302 2.433
-2.289 3.137 -1.011
H Li Sn Tc
1 2 1 1
Cartesian
0.000 0.000 0.000
-1.429 -0.651 1.217
-0.787 -1.054 -1.489
-3.361 -0.137 -0.778
-1.144 1.568 -0.506
```

## Properties
D(E_F) in states/eV/f.u.: 2.8
Uncorrected energy in eV per atom: -4.415

---

No. 2
The following is a DFT calculation (PBE-GGA) of TbTh2Cd6 after structural relaxation.

```
TbTh2Cd6
1.0
-2.580 0.755 -2.052
-1.178 -8.583 -1.680
-5.426 -4.776 5.063
Tb Th Cd
1 2 6
Cartesian
0.000 0.000 0.000
-2.201 -4.452 1.127
-6.983 -8.151 0.204
-7.502 -10.154 2.913
-3.081 -1.196 0.638
-1.683 -2.449 -1.581
-3.869 -6.950 -0.482
-6.103 -11.408 0.693
-5.315 -5.654 1.814
```

## Properties
ΔH_f (0 K) in meV/atom: -228
D(E_F) in states/eV/f.u.: 5.7

---

No. 3
The following is a DFT calculation (PBE-GGA) of Co2HgRh after structural relaxation.

```
Co2HgRh
1.0
6.947 0.000 0.000
0.000 6.947 0.000
3.473 3.473 2.669
Co Rh Hg
4 2 2
Cartesian
4.979 1.737 0.667
1.967 5.210 0.667
5.210 5.441 2.002
8.684 8.453 2.002
3.473 3.473 0.000
3.473 6.947 1.334
0.000 0.000 0.000
6.947 3.473 1.334
```

## Properties
ΔH_f (0 K) in meV/atom: 651
D(E_F) in states/eV/f.u.: 6.4

---

No. 4
The following is a DFT calculation (PBE-GGA) of TcAs2Pt after structural relaxation.

```
TcAs2Pt
1.0
-1.704 -0.464 -3.052
2.104 -2.726 -0.760
-3.368 -3.261 2.375
As Tc Pt
2 1 1
Cartesian
-3.181 -3.081 2.244
-0.853 -2.615 -1.163
-2.474 -4.185 -0.020
-1.510 -1.462 1.065
```

## Properties
ΔH_f (0 K) in meV/atom: -104
D(E_F) in states/eV/f.u.: 2.5
ΔE to the lowest computed polymorph in eV per formula unit: 0.000

---

No. 5
The following is a DFT calculation (PBE-GGA) of HgGe2S after structural relaxation.

```
HgGe2S
1.0
0.000 3.444 3.444
3.444 0.000 3.444
3.444 3.444 0.000
S Ge Hg
1 2 1
Cartesian
0.000 0.000 0.000
1.722 1.722 1.722
5.165 5.165 5.165
3.444 3.444 3.444
```

## Properties
D(E_F) in states/eV/f.u.: 2.7
Formation energy from raw total energies in eV per atom: 0.381
ΔE to the lowest computed polymorph in eV per formula unit: 0.765

---

No. 6
The following is a DFT calculation (PBE-GGA) of TmNbTc after structural relaxation.

```
TmNbTc
1.0
-1.690 -2.306 1.641
2.465 -2.138 -0.466
1.890 3.841 4.034
Nb Tm Tc
1 1 1
Cartesian
1.402 0.997 2.845
0.037 0.026 0.074
1.227 -1.625 2.290
```

## Properties
ΔH_f (0 K) in meV/atom: -105
D(E_F) in states/eV/f.u.: 3.1
ΔE to the lowest computed polymorph in eV per formula unit: 0.000

---

No. 7
The following is a DFT calculation (PBE-GGA) of TcBi2S2 after structural relaxation.

```
TcBi2S2
1.0
-5.666 -2.576 -4.655
5.268 -3.662 -4.386
-0.401 -3.441 2.392
S Bi Tc
4 4 2
Cartesian
2.367 -4.602 -2.519
0.394 -6.488 -5.563
-3.165 -5.077 -4.130
-1.193 -3.191 -1.086
2.505 -3.855 -5.126
-1.112 -4.598 -6.801
-2.903 -2.383 -3.915
0.714 -1.640 -2.240
0.000 0.000 0.000
-0.199 -3.119 -4.520
```

## Properties
D(E_F) in states/eV/f.u.: 2.8
Formation energy from raw total energies in eV per atom: 0.590
ΔE to the lowest computed polymorph in eV per formula unit: 1.365

---

No. 8
The following is a DFT calculation (PBE-GGA) of GaAg2Pd2 after structural relaxation.

```
GaAg2Pd2
1.0
3.653 0.000 0.000
0.000 3.653 0.000
1.826 1.826 6.953
Ga Pd Ag
1 2 2
Cartesian
0.000 0.000 0.000
1.826 1.826 1.295
3.653 3.653 5.657
3.653 1.826 3.476
1.826 3.653 3.476
```

## Properties
ΔH_f (0 K) in meV/atom: 118
D(E_F) in states/eV/f.u.: 2.3
ΔE to the lowest computed polymorph in eV per formula unit: 1.641